This record from OQMD via LeMat-Bulk describes RbLiNp after structural relaxation. The functional is PBE.

Values from the calculation:
offset from the most stable computed form: 0.080 eV per atom
symmetry: No. 216

Unit cell a=7.9138 b=7.9138 c=7.9138 alpha=90.00 beta=90.00 gamma=90.00
Last column: nearest neighbours and their distance in Å.
Fractional positions:
Rb 0.0000 0.0000 0.0000  4 Np 3.43, 4 Li 3.43
Rb 0.0000 0.5000 0.5000  4 Np 3.43, 4 Li 3.43
Rb 0.5000 0.0000 0.5000  4 Np 3.43, 4 Li 3.43
Rb 0.5000 0.5000 0.0000  4 Np 3.43, 4 Li 3.43
Li 0.2500 0.2500 0.7500  4 Rb 3.43
Li 0.2500 0.7500 0.2500  4 Rb 3.43
Li 0.7500 0.2500 0.2500  4 Rb 3.43
Li 0.7500 0.7500 0.7500  4 Rb 3.43
Np 0.2500 0.2500 0.2500  4 Rb 3.43
Np 0.2500 0.7500 0.7500  4 Rb 3.43
Np 0.7500 0.2500 0.7500  4 Rb 3.43
Np 0.7500 0.7500 0.2500  4 Rb 3.43

This record from OQMD via LeMat-Bulk describes AlCuBAu after structural relaxation. The functional is PBE.

Values from the calculation:
offset from the most stable computed form: 0.000 eV per atom
symmetry: No. 216

Unit cell a=5.9206 b=5.9206 c=5.9206 alpha=90.00 beta=90.00 gamma=90.00
Last column: nearest neighbours and their distance in Å.
Fractional positions:
Al 0.0000 0.0000 0.0000  4 Au 2.56, 4 Cu 2.56
Al 0.0000 0.5000 0.5000  4 Au 2.56, 4 Cu 2.56
Al 0.5000 0.0000 0.5000  4 Au 2.56, 4 Cu 2.56
Al 0.5000 0.5000 0.0000  4 Au 2.56, 4 Cu 2.56
Cu 0.2500 0.2500 0.7500  4 Al 2.56, 4 B 2.56
Cu 0.2500 0.7500 0.2500  4 Al 2.56, 4 B 2.56
Cu 0.7500 0.2500 0.2500  4 Al 2.56, 4 B 2.56
Cu 0.7500 0.7500 0.7500  4 B 2.56, 4 Al 2.56
B 0.0000 0.0000 0.5000  4 Cu 2.56, 4 Au 2.56
B 0.0000 0.5000 0.0000  4 Cu 2.56, 4 Au 2.56
B 0.5000 0.0000 0.0000  4 Cu 2.56, 4 Au 2.56
B 0.5000 0.5000 0.5000  4 Cu 2.56, 4 Au 2.56
Au 0.2500 0.2500 0.2500  4 Al 2.56, 4 B 2.56
Au 0.2500 0.7500 0.7500  4 Al 2.56, 4 B 2.56
Au 0.7500 0.2500 0.7500  4 Al 2.56, 4 B 2.56
Au 0.7500 0.7500 0.2500  4 Al 2.56, 4 B 2.56

This record from OQMD via LeMat-Bulk describes ZnInMo4N2 after structural relaxation. The functional is PBE.

Values from the calculation:
symmetry: No. 187
calculated total energy: -64.06 eV for the cell shown

Unit cell a=2.9072 b=2.9072 c=14.7788 alpha=90.00 beta=90.00 gamma=120.00
Last column: nearest neighbours and their distance in Å.
Fractional positions:
Zn 0.0000 0.0000 0.0000  6 Mo 2.80, 6 Zn 2.91
In 0.6667 0.3333 0.5000  6 In 2.91, 6 Mo 2.96
Mo 0.0000 0.0000 0.3348  3 N 2.16
Mo 0.0000 0.0000 0.6652  3 N 2.16
Mo 0.6667 0.3333 0.1514  3 N 2.16
Mo 0.6667 0.3333 0.8486  3 N 2.16
N 0.3333 0.6667 0.2433  6 Mo 2.16
N 0.3333 0.6667 0.7567  6 Mo 2.16

This record from OQMD via LeMat-Bulk describes SrSb12Os4 after structural relaxation. The functional is PBE.

Values from the calculation:
symmetry: No. 204
calculated total energy: -98.61 eV for the cell shown

Unit cell a=8.1705 b=8.1705 c=8.1705 alpha=109.47 beta=109.47 gamma=109.47
Last column: nearest neighbours and their distance in Å.
Fractional positions:
Sr 0.0000 0.0000 0.0000  12 Sb 3.55
Sb 0.1580 0.3412 0.4992  2 Os 2.66
Sb 0.1580 0.6588 0.8168  2 Os 2.66
Sb 0.1832 0.8420 0.3412  2 Os 2.66
Sb 0.3412 0.1832 0.8420  2 Os 2.66
Sb 0.3412 0.4992 0.1580  2 Os 2.66
Sb 0.4992 0.1580 0.3412  2 Os 2.66
Sb 0.5008 0.8420 0.6588  2 Os 2.66
Sb 0.6588 0.5008 0.8420  2 Os 2.66
Sb 0.6588 0.8168 0.1580  2 Os 2.66
Sb 0.8168 0.1580 0.6588  2 Os 2.66
Sb 0.8420 0.3412 0.1832  2 Os 2.66
Sb 0.8420 0.6588 0.5008  2 Os 2.66
Os 0.0000 0.0000 0.5000  6 Sb 2.66
Os 0.0000 0.5000 0.0000  6 Sb 2.66
Os 0.5000 0.0000 0.0000  6 Sb 2.66
Os 0.5000 0.5000 0.5000  6 Sb 2.66

This record from OQMD via LeMat-Bulk describes TmFeIr after structural relaxation. The functional is PBE.

Values from the calculation:
calculated formation energy: 608 meV per atom
symmetry: No. 216

Unit cell a=6.2674 b=6.2674 c=6.2674 alpha=90.00 beta=90.00 gamma=90.00
Last column: nearest neighbours and their distance in Å.
Fractional positions:
Tm 0.0000 0.0000 0.0000  4 Fe 2.71, 4 Ir 2.71
Tm 0.0000 0.5000 0.5000  4 Fe 2.71, 4 Ir 2.71
Tm 0.5000 0.0000 0.5000  4 Fe 2.71, 4 Ir 2.71
Tm 0.5000 0.5000 0.0000  4 Fe 2.71, 4 Ir 2.71
Fe 0.2500 0.2500 0.7500  4 Tm 2.71
Fe 0.2500 0.7500 0.2500  4 Tm 2.71
Fe 0.7500 0.2500 0.2500  4 Tm 2.71
Fe 0.7500 0.7500 0.7500  4 Tm 2.71
Ir 0.2500 0.2500 0.2500  4 Tm 2.71
Ir 0.2500 0.7500 0.7500  4 Tm 2.71
Ir 0.7500 0.2500 0.7500  4 Tm 2.71
Ir 0.7500 0.7500 0.2500  4 Tm 2.71

Number 1: V 123.9 Å³/f.u.. Number 2: V 51.9 Å³/f.u.. Number 3: V 108.2 Å³/f.u.. Number 4: V 419.9 Å³/f.u.. Number 5: V 61.5 Å³/f.u..